# 1
Below is a relaxed TbThZrCd crystal, with properties calculated at the PBE level.

Properties
Volume (Å³ per cell): 108.7
SG: F-43m
Energy relative to the elements (eV per atom): 0.06
M_tot (μB per formula unit): 0.890

POSCAR file:
```
TbThZrCd
1.0
-1.6363 -3.6220 -3.5909
3.5833 -3.0872 -2.5139
0.3003 -5.2253 1.1387
Cd Tb Zr Th
1 1 1 1
direct
0.7500 0.7500 0.7500 Cd
0.5000 0.5000 0.5000 Tb
0.2500 0.2500 0.2500 Zr
0.0000 0.0000 0.0000 Th
```

=====

# 2
Below is a relaxed TbTiCd2 crystal, with properties calculated at the PBE level.

Properties
Volume (Å³ per cell): 91.4
Offset from the most stable computed form (meV per atom): 11
SG: Fm-3m
Energy relative to the elements (eV per atom): -0.06
M_tot (μB per formula unit): 1.671

POSCAR file:
```
TbTiCd2
1.0
-2.5712 4.2717 0.8451
-4.4790 0.7382 -2.2285
-4.2412 -0.1040 2.7522
Cd Ti Tb
2 1 1
direct
0.7500 0.7500 0.7500 Cd
0.2500 0.2500 0.2500 Cd
0.5000 0.5000 0.5000 Ti
0.0000 0.0000 0.0000 Tb
```

=====

# 3
Below is a relaxed TbTiCd2 crystal, with properties calculated at the PBE level.

Properties
Volume (Å³ per cell): 90.0
Offset from the most stable computed form (meV per atom): 0
SG: P4/mmm
Energy relative to the elements (eV per atom): -0.07
M_tot (μB per formula unit): 0.916

POSCAR file:
```
TbTiCd2
1.0
-1.2446 2.4928 2.1509
-0.8622 -2.4659 2.3590
6.5598 0.6344 3.0607
Cd Tb Ti
2 1 1
direct
0.0000 0.0000 0.7837 Cd
0.0000 0.0000 0.2163 Cd
0.5000 0.5000 0.5000 Tb
0.5000 0.5000 0.0000 Ti
```

=====

# 4
Below is a relaxed TbTiCd2 crystal, with properties calculated at the PBE level.

Properties
Volume (Å³ per cell): 91.0
Offset from the most stable computed form (meV per atom): 21
SG: P4/mmm
Energy relative to the elements (eV per atom): -0.05
M_tot (μB per formula unit): 1.533

POSCAR file:
```
TbTiCd2
1.0
-3.9701 -1.5147 1.2424
1.6315 -0.8838 4.1360
-1.1670 4.1669 1.3507
Ti Cd Tb
1 2 1
direct
0.5000 0.0000 0.0000 Ti
0.0000 0.5000 0.0000 Cd
0.0000 0.0000 0.5000 Cd
0.5000 0.5000 0.5000 Tb
```

=====

Look up the energy relative to the elements of the fourth one.
-0.05 eV per atom

=====

Look up the energy relative to the elements of the second one.
-0.06 eV per atom

=====

What is the formula in the second record?
TbTiCd2